Computed, not measured: an optimized crystal structure of NiTe2F at the PBE+U level of DFT.

## Properties
DOS(E_F) = 0.57 states/eV per atom
M_tot = 0.0 μB/f.u.
Relative energy among the computed polymorphs = 322 meV/atom

a b c (Å): 8.3931 8.3931 8.3931
angles (deg): 146.59 146.59 47.96
Fractional coordinates of all 8 atoms:
Ni: 0.0000 0.0000 0.0000
Ni: 0.7500 0.2500 0.5000
Te: 0.0672 0.6250 0.9422
Te: 0.3750 0.3172 0.4422
Te: 0.6828 0.1250 0.0578
Te: 0.8750 0.9328 0.5578
F: 0.2500 0.7500 0.5000
F: 0.5000 0.5000 0.0000